(1)
DFT (PBE) results for a relaxed YTa2Se crystal.

Cell: 5.6390 5.6390 4.7277 Å, 76.62 76.62 34.11°
Element x y z (fractional)
1 Se 0.2500 0.2500 0.2500
2 Ta 0.9830 0.9830 0.0240
3 Ta 0.5170 0.5170 0.4760
4 Y 0.7500 0.7500 0.7500

Results
crystal system	monoclinic
formation energy without anion corrections	-0.045	eV per atom
DOS(E_F)	0.9896	states/eV per atom
symmetry	C2/m, No. 12

=====

(2)
DFT (PBE) results for a relaxed Pm2HfSc crystal.

Cell: 3.4167 3.4167 11.2648 Å, 81.28 81.28 60.00°
Element x y z (fractional)
1 Pm 0.0811 0.0811 0.7566
2 Pm 0.2523 0.2523 0.2431
3 Hf 0.6672 0.6672 0.9983
4 Sc 0.4993 0.4993 0.5020

Results
crystal system	trigonal
DOS(E_F)	1.6970	states/eV per atom
polymorph energy (0 for the lowest one)	0.11	eV/f.u.
formation energy from the elements	0.71	eV per formula unit
symmetry	R3m, No. 160

=====

(3)
DFT (PBE) results for a relaxed Pr2PaNi3Pt12 crystal.

Cell: 8.1131 8.1131 8.1131 Å, 59.70 59.70 59.70°
Element x y z (fractional)
1 Pr 0.6102 0.6102 0.6102
2 Pr 0.3898 0.3898 0.3898
3 Pa 0.0000 0.0000 0.0000
4 Ni 0.5000 0.0000 0.0000
5 Ni 0.0000 0.5000 0.0000
6 Ni 0.0000 0.0000 0.5000
7 Pt 0.3665 0.3665 0.8747
8 Pt 0.8644 0.8644 0.4014
9 Pt 0.4014 0.8644 0.8644
10 Pt 0.8747 0.3665 0.3665
11 Pt 0.8644 0.4014 0.8644
12 Pt 0.3665 0.8747 0.3665
13 Pt 0.6335 0.6335 0.1253
14 Pt 0.1356 0.1356 0.5986
15 Pt 0.5986 0.1356 0.1356
16 Pt 0.1253 0.6335 0.6335
17 Pt 0.1356 0.5986 0.1356
18 Pt 0.6335 0.1253 0.6335

Results
crystal system	trigonal
DOS(E_F)	0.9322	states/eV per atom
formation energy from the elements	-3.13	eV per formula unit
symmetry	R-3m, No. 166

=====

(4)
DFT (PBE) results for a relaxed LiPuSnSe3 crystal.

Cell: 3.9909 8.8373 8.9872 Å, 99.34 90.00 90.00°
Element x y z (fractional)
1 Li 0.2500 0.0949 0.5840
2 Li 0.7500 0.9051 0.4160
3 Pu 0.2500 0.1563 0.2073
4 Pu 0.7500 0.8437 0.7927
5 Sn 0.2500 0.6490 0.1734
6 Sn 0.7500 0.3510 0.8266
7 Se 0.7500 0.8983 0.1295
8 Se 0.2500 0.1017 0.8705
9 Se 0.2500 0.8010 0.5408
10 Se 0.7500 0.1990 0.4592
11 Se 0.7500 0.3911 0.1433
12 Se 0.2500 0.6089 0.8567

Results
crystal system	monoclinic
formation energy without anion corrections	-0.994	eV per atom
DOS(E_F)	2.0855	states/eV per atom
symmetry	P2_1/m, No. 11

=====

(5)
DFT (PBE) results for a relaxed La5PmNd3 crystal.

Cell: 9.0226 9.0226 10.2343 Å, 116.15 116.15 90.00°
Element x y z (fractional)
1 La 0.0632 0.5632 0.7230
2 La 0.6598 0.1598 0.7230
3 La 0.1598 0.0632 0.7230
4 La 0.5632 0.6598 0.7230
5 La 0.9368 0.4368 0.2770
6 La 0.3402 0.8402 0.2770
7 La 0.8402 0.9368 0.2770
8 La 0.4368 0.3402 0.2770
9 La 0.5000 0.5000 0.0000
10 La 0.0000 0.0000 0.0000
11 Pm 0.7500 0.2500 0.5000
12 Pm 0.2500 0.7500 0.5000
13 Nd 0.6184 0.1184 0.0000
14 Nd 0.3816 0.8816 0.0000
15 Nd 0.8816 0.6184 0.0000
16 Nd 0.1184 0.3816 0.0000
17 Nd 0.2500 0.2500 0.5000
18 Nd 0.7500 0.7500 0.5000

Results
crystal system	tetragonal
DOS(E_F)	1.7971	states/eV per atom
polymorph energy (0 for the lowest one)	0.14	eV/f.u.
formation energy from the elements	2.13	eV per formula unit
symmetry	I4/mcm, No. 140

=====

(6)
DFT (PBE) results for a relaxed Nb3Pd crystal.

Cell: 3.3472 4.5709 4.5707 Å, 90.00 90.00 90.00°
Element x y z (fractional)
1 Nb 0.0000 0.0000 0.9167
2 Nb 0.5000 0.0000 0.4166
3 Nb 0.5000 0.5000 0.9167
4 Pd 0.0000 0.5000 0.4167

Results
crystal system	tetragonal
DOS(E_F)	1.0638	states/eV per atom
formation energy from the elements	-0.46	eV per formula unit
symmetry	P4/mmm, No. 123

=====

(7)
DFT (PBE) results for a relaxed CsSbTeH3 crystal.

Cell: 6.6809 5.3183 11.7391 Å, 90.00 123.82 90.00°
Element x y z (fractional)
1 Cs 0.4978 0.0000 0.1640
2 Cs 0.4978 0.5000 0.6640
3 Sb 0.1204 0.0000 0.7426
4 Sb 0.1204 0.5000 0.2426
5 Te 0.1808 0.0000 0.3611
6 Te 0.1808 0.5000 0.8611
7 H 0.7261 0.0000 0.9154
8 H 0.7261 0.5000 0.4154
9 H 0.8044 0.0000 0.6502
10 H 0.8044 0.5000 0.1502
11 H 0.8165 0.0000 0.8958
12 H 0.8165 0.5000 0.3958

Results
crystal system	monoclinic
DOS(E_F)	0.3114	states/eV per atom
polymorph energy (0 for the lowest one)	0.08	eV/f.u.
symmetry	Cm, No. 8

=====

(8)
DFT (PBE) results for a relaxed MgAgOs crystal.

Cell: 2.8236 2.8236 7.0264 Å, 90.00 90.00 120.00°
Element x y z (fractional)
1 Ag 0.0000 0.0000 0.0031
2 Mg 0.6667 0.3333 0.3406
3 Os 0.3333 0.6667 0.6563

Results
crystal system	trigonal
DOS(E_F)	0.7307	states/eV per atom
polymorph energy (0 for the lowest one)	0.00	eV/f.u.
formation energy from the elements	0.95	eV per formula unit
symmetry	P3m1, No. 156

=====

(9)
DFT (PBE) results for a relaxed MnTlSb2I crystal.

Cell: 5.7803 5.3018 5.7803 Å, 90.00 90.00 90.00°
Element x y z (fractional)
1 I 0.5000 0.5000 0.5000
2 Sb 0.0000 0.0000 0.5000
3 Sb 0.5000 0.0000 0.0000
4 Tl 0.0000 0.0000 0.0000
5 Mn 0.0000 0.5000 0.0000

Results
crystal system	tetragonal
formation energy without anion corrections	0.895	eV per atom
DOS(E_F)	1.1438	states/eV per atom
polymorph energy (0 for the lowest one)	3.19	eV/f.u.
symmetry	P4/mmm, No. 123

=====

(10)
DFT (PBE) results for a relaxed HgTe7 crystal.

Cell: 6.8486 6.8486 6.8486 Å, 60.00 60.00 60.00°
Element x y z (fractional)
1 Hg 0.0000 0.0000 0.0000
2 Te 0.5000 0.5000 0.0000
3 Te 0.5000 0.0000 0.5000
4 Te 0.5000 0.0000 0.0000
5 Te 0.0000 0.0000 0.5000
6 Te 0.0000 0.5000 0.0000
7 Te 0.0000 0.5000 0.5000
8 Te 0.5000 0.5000 0.5000

Results
crystal system	cubic
formation energy without anion corrections	0.402	eV per atom
DOS(E_F)	0.9796	states/eV per atom
symmetry	Fm-3m, No. 225

=====

(11)
DFT (PBE) results for a relaxed Ta2GaRhN crystal.

Cell: 4.1285 4.3363 4.1285 Å, 90.00 90.00 90.00°
Element x y z (fractional)
1 N 0.0000 0.0000 0.0000
2 Rh 0.5000 0.5000 0.5000
3 Ga 0.0000 0.5000 0.0000
4 Ta 0.0000 0.0000 0.5000
5 Ta 0.5000 0.0000 0.0000

Results
crystal system	tetragonal
formation energy without anion corrections	-0.277	eV per atom
DOS(E_F)	0.7302	states/eV per atom
symmetry	P4/mmm, No. 123

=====

(12)
DFT (PBE) results for a relaxed Li7TlIn3 crystal.

Cell: 3.0193 12.1928 12.4127 Å, 90.00 90.00 97.11°
Element x y z (fractional)
1 Li 0.3548 0.7097 0.7500
2 Li 0.6452 0.2903 0.2500
3 Li 0.5503 0.1005 0.4274
4 Li 0.4497 0.8995 0.5726
5 Li 0.4497 0.8995 0.9274
6 Li 0.5503 0.1005 0.0726
7 Li 0.4204 0.8408 0.3628
8 Li 0.5796 0.1592 0.6372
9 Li 0.2585 0.5169 0.3883
10 Li 0.7415 0.4831 0.6117
11 Li 0.7415 0.4831 0.8883
12 Li 0.2585 0.5169 0.1117
13 Li 0.4204 0.8408 0.1372
14 Li 0.5796 0.1592 0.8628
15 Tl 0.0110 0.0221 0.2500
16 Tl 0.9890 0.9779 0.7500
17 In 0.1506 0.3012 0.4790
18 In 0.8494 0.6988 0.5210
19 In 0.1660 0.3320 0.7500
20 In 0.8340 0.6680 0.2500
21 In 0.1506 0.3012 0.0210
22 In 0.8494 0.6988 0.9790

Results
crystal system	orthorhombic
DOS(E_F)	0.3357	states/eV per atom
formation energy from the elements	-1.99	eV per formula unit
symmetry	Cmcm, No. 63

=====

Total magnetic moment, record by record: 0.00; 0.00; 1.66; 10.00; 0.00; 0.00; 0.00; 0.01; 3.99; 0.00; 0.00; 0.00 Bohr magnetons per cell